i.
A geometry-optimized Be2HPd structure. Source: the Alexandria database, functional PBE.

a = 3.7870 Å, b = 3.7870 Å, c = 3.7870 Å
α = 60.00°, β = 60.00°, γ = 60.00°
With the nearest neighbours (Å) after each atom.
Fractional positions:
1 Be 0.2500 0.2500 0.2500  4 Pd 2.32, 4 H 2.32
2 Be 0.7500 0.7500 0.7500  4 Pd 2.32, 4 H 2.32
3 Pd 0.5000 0.5000 0.5000  8 Be 2.32
4 H 0.0000 0.0000 0.0000  8 Be 2.32

=====

ii.
A geometry-optimized Be2HPd structure. Source: the Alexandria database, functional PBE.

a = 3.6976 Å, b = 3.6976 Å, c = 4.9246 Å
α = 67.95°, β = 67.95°, γ = 60.00°
With the nearest neighbours (Å) after each atom.
Fractional positions:
1 Be 0.1072 0.1072 0.6783  1 H 1.43
2 Be 0.8928 0.8928 0.3217  1 H 1.43
3 Pd 0.5000 0.5000 0.5000  6 Be 2.28
4 H 0.0000 0.0000 0.0000  2 Be 1.43

=====

iii.
A geometry-optimized Be2HPd structure. Source: the Alexandria database, functional PBE.

a = 4.7725 Å, b = 4.7725 Å, c = 4.5520 Å
α = 58.38°, β = 58.38°, γ = 90.00°
With the nearest neighbours (Å) after each atom.
Fractional positions:
1 Be 0.4653 0.1250 0.2500  2 H 1.48
2 Be 0.2847 0.6250 0.2500  2 H 1.48
3 Be 0.3750 0.5347 0.7500  2 H 1.48
4 Be 0.8750 0.7153 0.7500  2 H 1.48
5 Pd 0.0000 0.0000 0.0000  8 Be 2.41-2.62
6 Pd 0.7500 0.2500 0.5000  8 Be 2.41-2.62
7 H 0.5000 0.5000 0.0000  4 Be 1.48
8 H 0.2500 0.7500 0.5000  4 Be 1.48

=====

iv.
A geometry-optimized Be2HPd structure. Source: the Alexandria database, functional PBE.

a = 2.6415 Å, b = 2.6415 Å, c = 5.3581 Å
α = 90.00°, β = 90.00°, γ = 90.00°
With the nearest neighbours (Å) after each atom.
Fractional positions:
1 Be 0.0000 0.0000 0.7128  4 H 2.19, 1 Be 2.28, 4 Pd 2.42
2 Be 0.0000 0.0000 0.2872  4 H 2.19, 1 Be 2.28, 4 Pd 2.42
3 Pd 0.5000 0.5000 0.0000  8 Be 2.42, 4 Pd 2.64, 2 H 2.68
4 H 0.5000 0.5000 0.5000  8 Be 2.19

=====

Which structure is the most stable? The one labeled iii.

=====

i.
A geometry-optimized BeHPd3 structure. Source: the Alexandria database, functional PBE.

a = 2.8817 Å, b = 5.7336 Å, c = 7.0486 Å
α = 88.59°, β = 90.27°, γ = 104.34°
With the nearest neighbours (Å) after each atom.
Fractional positions:
1 Be 0.4213 0.8719 0.2554  7 Pd 2.29-2.39, 1 Be 2.35
2 Be 0.6229 0.2822 0.1661  7 Pd 2.29-2.39, 1 Be 2.35
3 H 0.1752 0.4061 0.5891  3 Pd 1.83-1.98
4 H 0.8685 0.7480 0.8324  3 Pd 1.83-1.98
5 Pd 0.0518 0.1341 0.4129  1 H 1.98
6 Pd 0.4028 0.8212 0.6805  2 H 1.83-1.84
7 Pd 0.6410 0.3327 0.7410  2 H 1.83-1.84
8 Pd 0.9924 0.0200 0.0087  1 H 1.98
9 Pd 0.2577 0.5592 0.0339  2 H 2.23-2.30, 3 Be 2.29-2.36
10 Pd 0.7862 0.5949 0.3876  2 H 2.23-2.30, 3 Be 2.29-2.36

=====

ii.
A geometry-optimized BeHPd3 structure. Source: the Alexandria database, functional PBE.

a = 2.8157 Å, b = 2.8157 Å, c = 7.0532 Å
α = 90.00°, β = 90.00°, γ = 90.01°
With the nearest neighbours (Å) after each atom.
Fractional positions:
1 Be 0.8635 0.6483 0.3859  8 Pd 2.42
2 H 0.3639 0.1485 0.8860  6 Pd 1.99-2.15
3 Pd 0.3638 0.1485 0.5817  1 H 2.15
4 Pd 0.8639 0.6486 0.8859  4 H 1.99
5 Pd 0.3638 0.1485 0.1902  1 H 2.15

=====

iii.
A geometry-optimized BeHPd3 structure. Source: the Alexandria database, functional PBE.

a = 3.8933 Å, b = 3.8933 Å, c = 3.8933 Å
α = 90.00°, β = 90.00°, γ = 90.00°
With the nearest neighbours (Å) after each atom.
Fractional positions:
1 Be 0.5000 0.5000 0.5000  12 Pd 2.75
2 Pd 0.0000 0.5000 0.0000  2 H 1.95
3 Pd 0.0000 0.0000 0.5000  2 H 1.95
4 Pd 0.5000 0.0000 0.0000  2 H 1.95
5 H 0.0000 0.0000 0.0000  6 Pd 1.95

=====

Which structure is the most stable? The one labeled ii.

=====

i.
A geometry-optimized Be2HPd6 structure. Source: the Alexandria database, functional PBE.

a = 2.8505 Å, b = 6.3611 Å, c = 6.6792 Å
α = 109.34°, β = 102.32°, γ = 90.00°
With the nearest neighbours (Å) after each atom.
Fractional positions:
1 Be 0.8126 0.6205 0.6253  6 Pd 2.24-2.31, 2 Be 2.31
2 Be 0.1874 0.3795 0.3747  6 Pd 2.24-2.31, 2 Be 2.31
3 H 0.5000 0.0000 0.0000  6 Pd 2.00-2.19
4 Pd 0.3222 0.9096 0.6444  1 H 2.19, 2 Be 2.30
5 Pd 0.0055 0.2231 0.0109  2 H 2.00
6 Pd 0.6365 0.6122 0.2731  3 Be 2.28-2.31
7 Pd 0.9945 0.7769 0.9891  2 H 2.00
8 Pd 0.6778 0.0904 0.3556  1 H 2.19, 2 Be 2.30
9 Pd 0.3635 0.3878 0.7269  3 Be 2.28-2.31

=====

ii.
A geometry-optimized Be2HPd6 structure. Source: the Alexandria database, functional PBE.

a = 2.9970 Å, b = 5.0062 Å, c = 9.2002 Å
α = 56.41°, β = 80.63°, γ = 72.58°
With the nearest neighbours (Å) after each atom.
Fractional positions:
1 Be 0.2444 0.7510 0.7602  7 Pd 2.30-2.55
2 Be 0.7556 0.2490 0.2398  7 Pd 2.30-2.55
3 H 0.0000 0.5000 0.5000  6 Pd 2.04-2.06
4 Pd 0.6353 0.7888 0.9406  3 Be 2.30-2.55
5 Pd 0.3647 0.2112 0.0594  3 Be 2.30-2.55
6 Pd 0.0726 0.6039 0.2508  1 H 2.04
7 Pd 0.3610 0.8427 0.4353  2 H 2.06
8 Pd 0.9274 0.3961 0.7492  1 H 2.04
9 Pd 0.6390 0.1573 0.5647  2 H 2.06

=====

Which structure is the most stable? The one labeled ii.

=====

i.
A geometry-optimized Be2HPd8 structure. Source: the Alexandria database, functional PBE.

a = 2.7755 Å, b = 7.4055 Å, c = 8.0774 Å
α = 117.28°, β = 99.98°, γ = 90.00°
With the nearest neighbours (Å) after each atom.
Fractional positions:
1 Be 0.2634 0.7617 0.5234  8 Pd 2.37-2.48
2 Be 0.7367 0.2384 0.4767  8 Pd 2.37-2.49
3 H 0.4998 0.0003 0.0005  4 Pd 1.97
4 Pd 0.6701 0.8604 0.3391  3 Be 2.37-2.49
5 Pd 0.3299 0.5213 0.6607  3 Be 2.37-2.48
6 Pd 0.0995 0.0993 0.1986  2 H 1.97
7 Pd 0.0001 0.3258 0.9999  9 Pd 2.58-2.79, 2 H 2.78
8 Pd 0.9004 0.9007 0.8013  2 H 1.97
9 Pd 0.6701 0.4788 0.3391  3 Be 2.37-2.49
10 Pd 0.3299 0.1394 0.6607  3 Be 2.37-2.48
11 Pd 0.0001 0.6741 0.9999  9 Pd 2.58-2.79, 2 H 2.78

=====

ii.
A geometry-optimized Be2HPd8 structure. Source: the Alexandria database, functional PBE.

a = 4.2731 Å, b = 5.2392 Å, c = 7.6115 Å
α = 115.93°, β = 106.30°, γ = 90.00°
With the nearest neighbours (Å) after each atom.
Fractional positions:
1 Be 0.8358 0.3220 0.6715  3 Pd 2.23-2.31
2 Be 0.1642 0.6780 0.3285  3 Pd 2.23-2.31
3 H 0.5000 0.0000 0.0000  2 Pd 1.72
4 Pd 0.4118 0.6427 0.8237  1 H 1.72
5 Pd 0.6704 0.9507 0.3407  3 Be 2.31-2.55
6 Pd 0.7965 0.6877 0.5931  1 Be 2.24
7 Pd 0.9659 0.2113 0.9317  1 Be 2.23
8 Pd 0.2035 0.3123 0.4069  1 Be 2.24
9 Pd 0.3296 0.0493 0.6593  3 Be 2.31-2.55
10 Pd 0.5882 0.3573 0.1763  1 H 1.72
11 Pd 0.0341 0.7887 0.0683  1 Be 2.23

=====

Which structure is the most stable? The one labeled i.

=====

i.
A geometry-optimized Ti2BeHPd structure. Source: the Alexandria database, functional PBE.

a = 3.9034 Å, b = 3.9034 Å, c = 3.8592 Å
α = 90.00°, β = 90.00°, γ = 90.00°
With the nearest neighbours (Å) after each atom.
Fractional positions:
1 Be 0.0000 0.0000 0.5000  2 H 1.93
2 H 0.0000 0.0000 0.0000  2 Be 1.93, 4 Ti 1.95
3 Pd 0.5000 0.5000 0.5000  8 Ti 2.74, 4 Be 2.76
4 Ti 0.0000 0.5000 0.0000  2 H 1.95
5 Ti 0.5000 0.0000 0.0000  2 H 1.95

=====

ii.
A geometry-optimized Ti2BeHPd structure. Source: the Alexandria database, functional PBE.

a = 3.9290 Å, b = 3.9290 Å, c = 3.9037 Å
α = 90.00°, β = 90.00°, γ = 90.00°
With the nearest neighbours (Å) after each atom.
Fractional positions:
1 Be 0.5000 0.5000 0.5000  8 Ti 2.77, 4 Pd 2.78
2 H 0.0000 0.0000 0.0000  2 Pd 1.95, 4 Ti 1.96
3 Pd 0.0000 0.0000 0.5000  2 H 1.95
4 Ti 0.0000 0.5000 0.0000  2 H 1.96
5 Ti 0.5000 0.0000 0.0000  2 H 1.96

=====

Which structure is the most stable? The one labeled i.

=====

i.
A geometry-optimized PmBe2H6 structure. Source: the Alexandria database, functional PBE.

a = 4.7794 Å, b = 4.7794 Å, c = 4.7793 Å
α = 59.97°, β = 59.97°, γ = 59.98°
With the nearest neighbours (Å) after each atom.
Fractional positions:
1 Pm 0.0000 0.0000 0.0000  6 H 2.14
2 Be 0.7501 0.7501 0.7501  12 H 2.43
3 Be 0.2499 0.2499 0.2499  12 H 2.43
4 H 0.3163 0.6837 0.6837  4 H 1.76
5 H 0.6837 0.6837 0.3163  4 H 1.76
6 H 0.6837 0.3163 0.6837  4 H 1.76
7 H 0.6837 0.3163 0.3163  4 H 1.76
8 H 0.3163 0.3163 0.6837  4 H 1.76
9 H 0.3163 0.6837 0.3163  4 H 1.76

=====

ii.
A geometry-optimized PmBe2H6 structure. Source: the Alexandria database, functional PBE.

a = 6.5970 Å, b = 4.3260 Å, c = 6.5970 Å
α = 61.98°, β = 70.34°, γ = 61.98°
With the nearest neighbours (Å) after each atom.
Fractional positions:
1 Pm 0.7748 0.7500 0.2252  8 H 2.25-2.51
2 Pm 0.2252 0.2500 0.7748  8 H 2.25-2.51
3 Be 0.3676 0.5704 0.2127  4 H 1.43-1.47
4 Be 0.7873 0.9296 0.6324  4 H 1.43-1.47
5 Be 0.6324 0.4296 0.7873  4 H 1.43-1.47
6 Be 0.2127 0.0704 0.3676  4 H 1.43-1.47
7 H 0.3934 0.1794 0.3675  2 Be 1.47
8 H 0.6325 0.3206 0.6066  2 Be 1.47
9 H 0.6066 0.8206 0.6325  2 Be 1.47
10 H 0.3675 0.6794 0.3934  2 Be 1.47
11 H 0.1240 0.9797 0.6092  1 Be 1.43
12 H 0.3908 0.5203 0.8760  1 Be 1.43
13 H 0.8760 0.0203 0.3908  1 Be 1.43
14 H 0.6092 0.4797 0.1240  1 Be 1.43
15 H 0.1535 0.7974 0.1122  1 Be 1.45
16 H 0.8878 0.7026 0.8465  1 Be 1.45
17 H 0.8465 0.2026 0.8878  1 Be 1.45
18 H 0.1122 0.2974 0.1535  1 Be 1.45

=====

iii.
A geometry-optimized PmBe2H6 structure. Source: the Alexandria database, functional PBE.

a = 12.6548 Å, b = 8.0687 Å, c = 8.0802 Å
α = 29.31°, β = 18.58°, γ = 18.53°
With the nearest neighbours (Å) after each atom.
Fractional positions:
1 Be 0.8190 0.8620 0.9998  4 H 1.42-1.51
2 Be 0.1810 0.1380 0.0002  4 H 1.42-1.51
3 H 0.7113 0.6600 0.6831  1 Be 1.42
4 H 0.8636 0.1941 0.3128  1 Be 1.42
5 H 0.1364 0.8059 0.6872  1 Be 1.42
6 H 0.2887 0.3400 0.3169  1 Be 1.42
7 H 0.7884 0.5158 0.3904  2 Be 1.50-1.51
8 H 0.2116 0.4842 0.6096  2 Be 1.50-1.51
9 Pm 0.0000 0.0000 0.0000  10 H 2.31-2.39

=====

Which structure is the most stable? The one labeled iii.

=====

i.
A geometry-optimized BeH2Pt structure. Source: the Alexandria database, functional PBE.

a = 3.5331 Å, b = 3.5331 Å, c = 3.5331 Å
α = 60.00°, β = 60.00°, γ = 60.00°
With the nearest neighbours (Å) after each atom.
Fractional positions:
1 Be 0.0000 0.0000 0.0000  8 H 2.16
2 Pt 0.5000 0.5000 0.5000  8 H 2.16
3 H 0.2500 0.2500 0.2500  4 Be 2.16, 4 Pt 2.16
4 H 0.7500 0.7500 0.7500  4 Be 2.16, 4 Pt 2.16

=====

ii.
A geometry-optimized BeH2Pt structure. Source: the Alexandria database, functional PBE.

a = 3.8945 Å, b = 3.8945 Å, c = 5.0624 Å
α = 67.38°, β = 67.38°, γ = 90.00°
With the nearest neighbours (Å) after each atom.
Fractional positions:
1 Be 0.5000 0.5000 0.0000  4 H 1.65
2 Be 0.2500 0.7500 0.5000  4 H 1.65
3 Pt 0.0000 0.0000 0.0000  4 H 1.85
4 Pt 0.7500 0.2500 0.5000  4 H 1.85
5 H 0.5789 0.1250 0.2500  2 Be 1.65
6 H 0.1711 0.6250 0.2500  2 Be 1.65
7 H 0.3750 0.4211 0.7500  2 Be 1.65
8 H 0.8750 0.8289 0.7500  2 Be 1.65

=====

Which structure is the most stable? The one labeled ii.

=====

i.
A geometry-optimized BeHPtRh2 structure. Source: the Alexandria database, functional PBE.

a = 3.8442 Å, b = 3.8442 Å, c = 3.8591 Å
α = 90.00°, β = 90.00°, γ = 90.00°
With the nearest neighbours (Å) after each atom.
Fractional positions:
1 Be 0.5000 0.5000 0.5000  4 Pt 2.72, 8 Rh 2.72
2 Rh 0.0000 0.5000 0.0000  2 H 1.92
3 Rh 0.5000 0.0000 0.0000  2 H 1.92
4 Pt 0.0000 0.0000 0.5000  2 H 1.93
5 H 0.0000 0.0000 0.0000  4 Rh 1.92, 2 Pt 1.93

=====

ii.
A geometry-optimized BeHPtRh2 structure. Source: the Alexandria database, functional PBE.

a = 3.8166 Å, b = 3.8166 Å, c = 3.8477 Å
α = 90.00°, β = 90.00°, γ = 90.00°
With the nearest neighbours (Å) after each atom.
Fractional positions:
1 Be 0.0000 0.0000 0.5000  2 H 1.92
2 Rh 0.0000 0.5000 0.0000  2 H 1.91
3 Rh 0.5000 0.0000 0.0000  2 H 1.91
4 Pt 0.5000 0.5000 0.5000  4 Be 2.70, 8 Rh 2.71
5 H 0.0000 0.0000 0.0000  4 Rh 1.91, 2 Be 1.92

=====

Which structure is the most stable? The one labeled ii.

=====

i.
A geometry-optimized PuBe2H6 structure. Source: the Alexandria database, functional PBE.

a = 4.5838 Å, b = 4.5838 Å, c = 4.5838 Å
α = 60.00°, β = 60.00°, γ = 60.00°
With the nearest neighbours (Å) after each atom.
Fractional positions:
1 Be 0.7500 0.7500 0.7500  12 H 2.32
2 Be 0.2500 0.2500 0.2500  12 H 2.32
3 H 0.3087 0.6913 0.3087  4 H 1.75
4 H 0.6913 0.3087 0.3087  4 H 1.75
5 H 0.3087 0.6913 0.6913  4 H 1.75
6 H 0.6913 0.3087 0.6913  4 H 1.75
7 H 0.6913 0.6913 0.3087  4 H 1.75
8 H 0.3087 0.3087 0.6913  4 H 1.75
9 Pu 0.0000 0.0000 0.0000  6 H 2.00

=====

ii.
A geometry-optimized PuBe2H6 structure. Source: the Alexandria database, functional PBE.

a = 3.1860 Å, b = 4.2586 Å, c = 5.8076 Å
α = 79.24°, β = 74.08°, γ = 68.03°
With the nearest neighbours (Å) after each atom.
Fractional positions:
1 Pu 0.0000 0.5000 0.5000  10 H 2.21-2.47
2 Be 0.1519 0.8444 0.8518  5 H 1.47-1.64
3 Be 0.8481 0.1556 0.1482  5 H 1.47-1.64
4 H 0.7079 0.7441 0.8402  2 Be 1.64
5 H 0.2921 0.2559 0.1598  2 Be 1.64
6 H 0.0424 0.7868 0.1283  2 Be 1.47-1.54
7 H 0.2774 0.8725 0.5727  1 Be 1.55
8 H 0.9576 0.2132 0.8717  2 Be 1.47-1.54
9 H 0.7226 0.1275 0.4273  1 Be 1.55

=====

iii.
A geometry-optimized PuBe2H6 structure. Source: the Alexandria database, functional PBE.

a = 4.2272 Å, b = 4.0641 Å, c = 4.0641 Å
α = 120.00°, β = 90.00°, γ = 90.00°
With the nearest neighbours (Å) after each atom.
Fractional positions:
1 Pu 0.0000 0.0000 0.0000  12 H 2.27
2 Be 0.5000 0.3333 0.6667  6 H 1.61
3 Be 0.5000 0.6667 0.3333  6 H 1.61
4 H 0.7597 0.0000 0.5001  2 Be 1.61
5 H 0.7597 0.5001 0.0000  2 Be 1.61
6 H 0.2403 0.0000 0.4999  2 Be 1.61
7 H 0.2403 0.5001 0.5001  2 Be 1.61
8 H 0.2403 0.4999 0.0000  2 Be 1.61
9 H 0.7597 0.4999 0.4999  2 Be 1.61

=====

Which structure is the most stable? The one labeled iii.